Below is Sm3Ho6Sc after structural relaxation, with properties calculated at the PBE level.

## Properties
Energy above the lowest structure with this stoichiometry ... 93.4 meV per atom
Density of states at the Fermi level ... 17.7 states/eV/cell
Energy relative to the elements ... 0.240 eV per atom
Raw total energy ... -4.555 eV/atom

a = 6.556 Å, b = 6.556 Å, c = 9.531 Å
α = 110.70°, β = 110.70°, γ = 59.60°
Atoms (fractional coordinates):
Sm 0.000 0.000 0.000
Sm 0.069 0.069 0.696
Sm 0.931 0.931 0.304
Ho 0.066 0.560 0.688
Ho 0.362 0.362 0.079
Ho 0.440 0.934 0.312
Ho 0.560 0.066 0.688
Ho 0.638 0.638 0.921
Ho 0.934 0.440 0.312
Sc 0.500 0.500 0.500


Below is SmHoSc2 after structural relaxation, with properties calculated at the PBE level.

## Properties
Energy above the lowest structure with this stoichiometry ... 18.2 meV per atom
Density of states at the Fermi level ... 6.4 states/eV/cell
Energy relative to the elements ... 0.067 eV per atom
Raw total energy ... -5.423 eV/atom

a = 11.155 Å, b = 11.155 Å, c = 11.155 Å
α = 17.80°, β = 17.80°, γ = 17.80°
Atoms (fractional coordinates):
Sm 0.000 0.000 0.000
Ho 0.166 0.166 0.166
Sc 0.581 0.581 0.581
Sc 0.751 0.751 0.751


Below is SmHo12Sc7 after structural relaxation, with properties calculated at the PBE level.

## Properties
Energy above the lowest structure with this stoichiometry ... 0.0 meV per atom
Density of states at the Fermi level ... 36.4 states/eV/cell
Energy relative to the elements ... 0.266 eV per atom
Raw total energy ... -4.933 eV/atom

a = 9.659 Å, b = 9.659 Å, c = 9.659 Å
α = 112.75°, β = 112.75°, γ = 112.75°
Atoms (fractional coordinates):
Sm 0.000 0.000 0.000
Ho 0.000 0.283 0.717
Ho 0.000 0.717 0.283
Ho 0.091 0.423 0.423
Ho 0.283 0.000 0.717
Ho 0.283 0.717 0.000
Ho 0.423 0.091 0.423
Ho 0.423 0.423 0.091
Ho 0.577 0.577 0.909
Ho 0.577 0.909 0.577
Ho 0.717 0.000 0.283
Ho 0.717 0.283 0.000
Ho 0.909 0.577 0.577
Sc 0.158 0.158 0.493
Sc 0.158 0.493 0.158
Sc 0.493 0.158 0.158
Sc 0.500 0.500 0.500
Sc 0.507 0.842 0.842
Sc 0.842 0.507 0.842
Sc 0.842 0.842 0.507